Entry 1:
# LiPmErIr PBE relaxed
data_LiPmErIr
_chemical_formula_sum 'Li4 Pm4 Er4 Ir4'
_space_group_name_H-M_alt 'F -4 3 m'
_space_group_IT_number 216
_space_group_name_Hall 'F -4 2 3'
_cell_length_a 7.017
_cell_length_b 7.017
_cell_length_c 7.017
_cell_angle_alpha 90.00
_cell_angle_beta 90.00
_cell_angle_gamma 90.00
loop_
_atom_site_label
_atom_site_type_symbol
_atom_site_fract_x
_atom_site_fract_y
_atom_site_fract_z
Li1 Li 0.000 0.000 0.000
Pm1 Pm 0.250 0.250 0.750
Er1 Er 0.250 0.250 0.250
Ir1 Ir 0.000 0.000 0.500
# formation energy	-0.52	eV per atom

=====

Entry 2:
# LiPrErIr PBE relaxed
data_LiPrErIr
_chemical_formula_sum 'Li4 Pr4 Er4 Ir4'
_space_group_name_H-M_alt 'F -4 3 m'
_space_group_IT_number 216
_space_group_name_Hall 'F -4 2 3'
_cell_length_a 7.076
_cell_length_b 7.076
_cell_length_c 7.076
_cell_angle_alpha 90.00
_cell_angle_beta 90.00
_cell_angle_gamma 90.00
loop_
_atom_site_label
_atom_site_type_symbol
_atom_site_fract_x
_atom_site_fract_y
_atom_site_fract_z
Li1 Li 0.000 0.000 0.000
Pr1 Pr 0.250 0.250 0.250
Er1 Er 0.250 0.250 0.750
Ir1 Ir 0.000 0.000 0.500
# formation energy	-0.47	eV per atom

=====

Entry 3:
# LiErIrPt PBE relaxed
data_LiErIrPt
_chemical_formula_sum 'Li4 Er4 Ir4 Pt4'
_space_group_name_H-M_alt 'F -4 3 m'
_space_group_IT_number 216
_space_group_name_Hall 'F -4 2 3'
_cell_length_a 6.478
_cell_length_b 6.478
_cell_length_c 6.478
_cell_angle_alpha 90.00
_cell_angle_beta 90.00
_cell_angle_gamma 90.00
loop_
_atom_site_label
_atom_site_type_symbol
_atom_site_fract_x
_atom_site_fract_y
_atom_site_fract_z
Li1 Li 0.000 0.000 0.000
Er1 Er 0.000 0.000 0.500
Ir1 Ir 0.250 0.250 0.250
Pt1 Pt 0.250 0.250 0.750
# formation energy	-0.64	eV per atom

=====

Entry 4:
# LiErIrRh PBE relaxed
data_LiErIrRh
_chemical_formula_sum 'Li4 Er4 Ir4 Rh4'
_space_group_name_H-M_alt 'F -4 3 m'
_space_group_IT_number 216
_space_group_name_Hall 'F -4 2 3'
_cell_length_a 6.401
_cell_length_b 6.401
_cell_length_c 6.401
_cell_angle_alpha 90.00
_cell_angle_beta 90.00
_cell_angle_gamma 90.00
loop_
_atom_site_label
_atom_site_type_symbol
_atom_site_fract_x
_atom_site_fract_y
_atom_site_fract_z
Li1 Li 0.000 0.000 0.000
Er1 Er 0.000 0.000 0.500
Ir1 Ir 0.250 0.250 0.750
Rh1 Rh 0.250 0.250 0.250
# formation energy	-0.45	eV per atom

=====

Entry 5:
# LiErIrRu PBE relaxed
data_LiErIrRu
_chemical_formula_sum 'Li4 Er4 Ir4 Ru4'
_space_group_name_H-M_alt 'F -4 3 m'
_space_group_IT_number 216
_space_group_name_Hall 'F -4 2 3'
_cell_length_a 6.398
_cell_length_b 6.398
_cell_length_c 6.398
_cell_angle_alpha 90.00
_cell_angle_beta 90.00
_cell_angle_gamma 90.00
loop_
_atom_site_label
_atom_site_type_symbol
_atom_site_fract_x
_atom_site_fract_y
_atom_site_fract_z
Li1 Li 0.000 0.000 0.000
Er1 Er 0.250 0.250 0.250
Ir1 Ir 0.250 0.250 0.750
Ru1 Ru 0.000 0.000 0.500
# formation energy	-0.13	eV per atom

=====

Entry 6:
# LiErScIr PBE relaxed
data_LiErScIr
_chemical_formula_sum 'Li4 Er4 Sc4 Ir4'
_space_group_name_H-M_alt 'F -4 3 m'
_space_group_IT_number 216
_space_group_name_Hall 'F -4 2 3'
_cell_length_a 6.718
_cell_length_b 6.718
_cell_length_c 6.718
_cell_angle_alpha 90.00
_cell_angle_beta 90.00
_cell_angle_gamma 90.00
loop_
_atom_site_label
_atom_site_type_symbol
_atom_site_fract_x
_atom_site_fract_y
_atom_site_fract_z
Li1 Li 0.000 0.000 0.000
Er1 Er 0.250 0.250 0.250
Sc1 Sc 0.250 0.250 0.750
Ir1 Ir 0.000 0.000 0.500
# formation energy	-0.62	eV per atom

=====

Entry 7:
# LiErSi2Ir PBE relaxed
data_LiErSi2Ir
_chemical_formula_sum 'Li2 Er2 Si4 Ir2'
_space_group_name_H-M_alt 'I -4 m 2'
_space_group_IT_number 119
_space_group_name_Hall 'I -4 -2'
_cell_length_a 4.019
_cell_length_b 4.019
_cell_length_c 10.107
_cell_angle_alpha 90.00
_cell_angle_beta 90.00
_cell_angle_gamma 90.00
loop_
_atom_site_label
_atom_site_type_symbol
_atom_site_fract_x
_atom_site_fract_y
_atom_site_fract_z
Li1 Li 0.000 0.000 0.000
Er1 Er 0.000 0.500 0.250
Si1 Si 0.000 0.500 0.633
Ir1 Ir 0.000 0.000 0.500
# electronic total energy	-6.0126	eV per atom

=====

Entry 8:
# LiSmErIr PBE relaxed
data_LiSmErIr
_chemical_formula_sum 'Li4 Sm4 Er4 Ir4'
_space_group_name_H-M_alt 'F -4 3 m'
_space_group_IT_number 216
_space_group_name_Hall 'F -4 2 3'
_cell_length_a 6.997
_cell_length_b 6.997
_cell_length_c 6.997
_cell_angle_alpha 90.00
_cell_angle_beta 90.00
_cell_angle_gamma 90.00
loop_
_atom_site_label
_atom_site_type_symbol
_atom_site_fract_x
_atom_site_fract_y
_atom_site_fract_z
Li1 Li 0.000 0.000 0.000
Sm1 Sm 0.250 0.250 0.250
Er1 Er 0.250 0.250 0.750
Ir1 Ir 0.000 0.000 0.500
# formation energy	-0.53	eV per atom

=====

Entry 9:
# SrLiErIr PBE relaxed
data_SrLiErIr
_chemical_formula_sum 'Sr4 Li4 Er4 Ir4'
_space_group_name_H-M_alt 'F -4 3 m'
_space_group_IT_number 216
_space_group_name_Hall 'F -4 2 3'
_cell_length_a 7.139
_cell_length_b 7.139
_cell_length_c 7.139
_cell_angle_alpha 90.00
_cell_angle_beta 90.00
_cell_angle_gamma 90.00
loop_
_atom_site_label
_atom_site_type_symbol
_atom_site_fract_x
_atom_site_fract_y
_atom_site_fract_z
Sr1 Sr 0.000 0.000 0.000
Li1 Li 0.250 0.250 0.750
Er1 Er 0.000 0.000 0.500
Ir1 Ir 0.250 0.250 0.250
# formation energy	-0.25	eV per atom

=====

Entry 10:
# LiErTaIr PBE relaxed
data_LiErTaIr
_chemical_formula_sum 'Li4 Er4 Ta4 Ir4'
_space_group_name_H-M_alt 'F -4 3 m'
_space_group_IT_number 216
_space_group_name_Hall 'F -4 2 3'
_cell_length_a 6.590
_cell_length_b 6.590
_cell_length_c 6.590
_cell_angle_alpha 90.00
_cell_angle_beta 90.00
_cell_angle_gamma 90.00
loop_
_atom_site_label
_atom_site_type_symbol
_atom_site_fract_x
_atom_site_fract_y
_atom_site_fract_z
Li1 Li 0.000 0.000 0.000
Er1 Er 0.250 0.250 0.750
Ta1 Ta 0.250 0.250 0.250
Ir1 Ir 0.000 0.000 0.500
# formation energy	-0.24	eV per atom

=====

Entry 11:
# LiTbErIr PBE relaxed
data_LiTbErIr
_chemical_formula_sum 'Li4 Tb4 Er4 Ir4'
_space_group_name_H-M_alt 'F -4 3 m'
_space_group_IT_number 216
_space_group_name_Hall 'F -4 2 3'
_cell_length_a 6.934
_cell_length_b 6.934
_cell_length_c 6.934
_cell_angle_alpha 90.00
_cell_angle_beta 90.00
_cell_angle_gamma 90.00
loop_
_atom_site_label
_atom_site_type_symbol
_atom_site_fract_x
_atom_site_fract_y
_atom_site_fract_z
Li1 Li 0.000 0.000 0.000
Tb1 Tb 0.250 0.250 0.750
Er1 Er 0.250 0.250 0.250
Ir1 Ir 0.000 0.000 0.500
# formation energy	-0.58	eV per atom

=====

Entry 12:
# LiErThIr PBE relaxed
data_LiErThIr
_chemical_formula_sum 'Li4 Er4 Th4 Ir4'
_space_group_name_H-M_alt 'F -4 3 m'
_space_group_IT_number 216
_space_group_name_Hall 'F -4 2 3'
_cell_length_a 7.075
_cell_length_b 7.075
_cell_length_c 7.075
_cell_angle_alpha 90.00
_cell_angle_beta 90.00
_cell_angle_gamma 90.00
loop_
_atom_site_label
_atom_site_type_symbol
_atom_site_fract_x
_atom_site_fract_y
_atom_site_fract_z
Li1 Li 0.000 0.000 0.000
Er1 Er 0.250 0.250 0.250
Th1 Th 0.250 0.250 0.750
Ir1 Ir 0.000 0.000 0.500
# formation energy	-0.46	eV per atom

=====

Entry 13:
# LiErTiIr PBE relaxed
data_LiErTiIr
_chemical_formula_sum 'Li4 Er4 Ti4 Ir4'
_space_group_name_H-M_alt 'F -4 3 m'
_space_group_IT_number 216
_space_group_name_Hall 'F -4 2 3'
_cell_length_a 6.567
_cell_length_b 6.567
_cell_length_c 6.567
_cell_angle_alpha 90.00
_cell_angle_beta 90.00
_cell_angle_gamma 90.00
loop_
_atom_site_label
_atom_site_type_symbol
_atom_site_fract_x
_atom_site_fract_y
_atom_site_fract_z
Li1 Li 0.000 0.000 0.000
Er1 Er 0.250 0.250 0.750
Ti1 Ti 0.250 0.250 0.250
Ir1 Ir 0.000 0.000 0.500
# formation energy	-0.43	eV per atom

=====

Entry 14:
# LiYErIr PBE relaxed
data_LiYErIr
_chemical_formula_sum 'Li4 Y4 Er4 Ir4'
_space_group_name_H-M_alt 'F -4 3 m'
_space_group_IT_number 216
_space_group_name_Hall 'F -4 2 3'
_cell_length_a 6.929
_cell_length_b 6.929
_cell_length_c 6.929
_cell_angle_alpha 90.00
_cell_angle_beta 90.00
_cell_angle_gamma 90.00
loop_
_atom_site_label
_atom_site_type_symbol
_atom_site_fract_x
_atom_site_fract_y
_atom_site_fract_z
Li1 Li 0.000 0.000 0.000
Y1 Y 0.250 0.250 0.250
Er1 Er 0.250 0.250 0.750
Ir1 Ir 0.000 0.000 0.500
# formation energy	-0.58	eV per atom

=====

Entry 15:
# ErLuIr PBE relaxed
data_ErLuIr
_chemical_formula_sum 'Er2 Lu2 Ir2'
_space_group_name_H-M_alt 'I 4 m m'
_space_group_IT_number 107
_space_group_name_Hall 'I 4 -2'
_cell_length_a 3.406
_cell_length_b 3.406
_cell_length_c 12.501
_cell_angle_alpha 90.00
_cell_angle_beta 90.00
_cell_angle_gamma 90.00
loop_
_atom_site_label
_atom_site_type_symbol
_atom_site_fract_x
_atom_site_fract_y
_atom_site_fract_z
Er1 Er 0.000 0.000 0.000
Lu1 Lu 0.000 0.000 0.259
Ir1 Ir 0.000 0.000 0.632
# formation energy	-0.64	eV per atom
# E above lowest polymorph	37	kJ/mol of formula units

=====

Entry 16:
# ErLuIr4 PBE relaxed
data_ErLuIr4
_chemical_formula_sum 'Er4 Lu4 Ir16'
_space_group_name_H-M_alt 'F -4 3 m'
_space_group_IT_number 216
_space_group_name_Hall 'F -4 2 3'
_cell_length_a 7.533
_cell_length_b 7.533
_cell_length_c 7.533
_cell_angle_alpha 90.00
_cell_angle_beta 90.00
_cell_angle_gamma 90.00
loop_
_atom_site_label
_atom_site_type_symbol
_atom_site_fract_x
_atom_site_fract_y
_atom_site_fract_z
Er1 Er 0.000 0.000 0.000
Lu1 Lu 0.250 0.250 0.750
Ir1 Ir 0.125 0.125 0.375
# formation energy	-0.83	eV per atom

=====

Entry 17:
# ErLu3Ir PBE relaxed
data_ErLu3Ir
_chemical_formula_sum 'Er1 Lu3 Ir1'
_space_group_name_H-M_alt 'P m -3 m'
_space_group_IT_number 221
_space_group_name_Hall '-P 4 2 3'
_cell_length_a 5.313
_cell_length_b 5.313
_cell_length_c 5.313
_cell_angle_alpha 90.00
_cell_angle_beta 90.00
_cell_angle_gamma 90.00
loop_
_atom_site_label
_atom_site_type_symbol
_atom_site_fract_x
_atom_site_fract_y
_atom_site_fract_z
Er1 Er 0.000 0.000 0.000
Lu1 Lu 0.000 0.500 0.500
Ir1 Ir 0.500 0.500 0.500
# formation energy	-0.30	eV per atom

=====

Entry 18:
# ErLuIr PBE relaxed
data_ErLuIr
_chemical_formula_sum 'Er4 Lu4 Ir4'
_space_group_name_H-M_alt 'F -4 3 m'
_space_group_IT_number 216
_space_group_name_Hall 'F -4 2 3'
_cell_length_a 6.698
_cell_length_b 6.698
_cell_length_c 6.698
_cell_angle_alpha 90.00
_cell_angle_beta 90.00
_cell_angle_gamma 90.00
loop_
_atom_site_label
_atom_site_type_symbol
_atom_site_fract_x
_atom_site_fract_y
_atom_site_fract_z
Er1 Er 0.000 0.000 0.000
Lu1 Lu 0.000 0.000 0.500
Ir1 Ir 0.250 0.250 0.250
# formation energy	-0.77	eV per atom
# E above lowest polymorph	0	kJ/mol of formula units

=====

Entry 19:
# ErLuMgIr PBE relaxed
data_ErLuMgIr
_chemical_formula_sum 'Er4 Lu4 Mg4 Ir4'
_space_group_name_H-M_alt 'F -4 3 m'
_space_group_IT_number 216
_space_group_name_Hall 'F -4 2 3'
_cell_length_a 6.999
_cell_length_b 6.999
_cell_length_c 6.999
_cell_angle_alpha 90.00
_cell_angle_beta 90.00
_cell_angle_gamma 90.00
loop_
_atom_site_label
_atom_site_type_symbol
_atom_site_fract_x
_atom_site_fract_y
_atom_site_fract_z
Er1 Er 0.000 0.000 0.000
Lu1 Lu 0.000 0.000 0.500
Mg1 Mg 0.250 0.250 0.750
Ir1 Ir 0.250 0.250 0.250
# formation energy	-0.51	eV per atom

=====

Entry 20:
# ErLuNiIr PBE relaxed
data_ErLuNiIr
_chemical_formula_sum 'Er4 Lu4 Ni4 Ir4'
_space_group_name_H-M_alt 'F -4 3 m'
_space_group_IT_number 216
_space_group_name_Hall 'F -4 2 3'
_cell_length_a 6.710
_cell_length_b 6.710
_cell_length_c 6.710
_cell_angle_alpha 90.00
_cell_angle_beta 90.00
_cell_angle_gamma 90.00
loop_
_atom_site_label
_atom_site_type_symbol
_atom_site_fract_x
_atom_site_fract_y
_atom_site_fract_z
Er1 Er 0.000 0.000 0.000
Lu1 Lu 0.000 0.000 0.500
Ni1 Ni 0.250 0.250 0.750
Ir1 Ir 0.250 0.250 0.250
# formation energy	-0.73	eV per atom